VASP calculation (GGA-PBE) on a geometry-optimized Na5Cu2Se4 structure.

Values from the calculation:
**DOS at the Fermi energy**: 4.78 states/eV/cell
**DFT total energy**: -36.5 eV/cell
**Formation energy (no corrections)**: -0.710 eV per atom

The structure in POSCAR format:
```
Na5Cu2Se4
1.0
8.428 -2.035 0.000
8.428 2.035 0.000
-1.988 0.000 8.220
Na Cu Se
5 2 4
Cartesian
0.000 0.000 0.000
5.386 0.000 0.472
4.819 0.000 4.264
10.049 0.000 3.955
9.482 0.000 7.747
-0.110 0.000 5.888
14.978 0.000 2.332
2.257 0.000 6.001
7.820 0.000 2.080
7.047 0.000 6.139
12.611 0.000 2.219
```

=====

VASP calculation (GGA-PBE) on a geometry-optimized MgIrBr2 structure.

Values from the calculation:
**DOS at the Fermi energy**: 2.23 states/eV/cell
**DFT total energy**: -13.3 eV/cell
**Energy above the lowest structure with this stoichiometry**: 0.374 eV per atom
**Formation energy (no corrections)**: 0.137 eV per atom

The structure in POSCAR format:
```
MgIrBr2
1.0
1.769 1.021 8.228
-1.769 1.021 8.228
0.000 -2.043 8.228
Mg Ir Br
1 1 2
Cartesian
0.000 0.000 0.000
0.000 0.000 12.342
0.000 0.000 9.899
0.000 0.000 14.785
```

=====

VASP calculation (GGA-PBE) on a geometry-optimized Ho2Cd3Ag2 structure.

Values from the calculation:
**DOS at the Fermi energy**: 4.14 states/eV/cell
**DFT total energy**: -19.1 eV/cell
**Energy above the lowest structure with this stoichiometry**: 0.051 eV per atom

The structure in POSCAR format:
```
Ho2Cd3Ag2
1.0
2.303 -10.329 0.000
2.303 10.329 0.000
0.000 0.000 3.437
Ho Cd Ag
2 3 2
Cartesian
2.303 7.000 0.000
2.303 -7.000 0.000
0.000 0.000 0.000
2.303 1.501 1.718
2.303 -1.501 1.718
2.303 4.369 1.718
2.303 -4.369 1.718
```